The following is a PBE-GGA calculation of a relaxed PaSi2Ir4 crystal, from the Alexandria database.

Cell: 4.1125 4.0585 7.0751 Å, 106.67 90.00 90.00°
Element x y z (fractional)
Ir (0.5000, 0.1757, 0.3514)
Ir (0.0000, 0.3288, 0.6576)
Ir (0.0000, 0.6712, 0.3424)
Ir (0.5000, 0.8243, 0.6486)
Pa (0.0000, 0.0000, 0.0000)
Si (0.5000, 0.5874, 0.1749)
Si (0.5000, 0.4126, 0.8251)

Results
- Offset from the most stable computed form: 0.350 eV/f.u.
- N(E_F): 0.629 states/eV per atom
- Crystal system: orthorhombic
- ΔE_f (raw): -64 kJ/mol of atoms

The following is a PBE-GGA calculation of a relaxed PaSiIr crystal, from the Alexandria database.

Cell: 4.2526 7.4619 14.0609 Å, 90.00 90.00 90.00°
Element x y z (fractional)
Pa (0.5000, 0.7906, 0.2535)
Pa (0.5000, 0.7047, 0.5000)
Pa (0.5000, 0.7906, 0.7465)
Pa (0.0000, 0.2959, 0.5000)
Pa (0.0000, 0.2094, 0.7535)
Pa (0.5000, 0.7041, 0.0000)
Pa (0.0000, 0.2094, 0.2465)
Pa (0.0000, 0.2953, 0.0000)
Si (0.0000, 0.9132, 0.5962)
Si (0.5000, 0.4114, 0.6464)
Si (0.0000, 0.5886, 0.8536)
Si (0.5000, 0.0868, 0.0962)
Si (0.5000, 0.4114, 0.3536)
Si (0.5000, 0.0868, 0.9038)
Si (0.0000, 0.9132, 0.4038)
Si (0.0000, 0.5886, 0.1464)
Ir (0.5000, 0.0812, 0.6126)
Ir (0.0000, 0.5849, 0.3539)
Ir (0.5000, 0.0812, 0.3874)
Ir (0.0000, 0.9188, 0.1126)
Ir (0.0000, 0.9188, 0.8874)
Ir (0.5000, 0.4151, 0.8539)
Ir (0.0000, 0.5849, 0.6461)
Ir (0.5000, 0.4151, 0.1461)

Results
- N(E_F): 0.892 states/eV per atom
- Crystal system: orthorhombic
- ΔE_f (raw): -92 kJ/mol of atoms

The following is a PBE-GGA calculation of a relaxed PaSiIr crystal, from the Alexandria database.

Cell: 2.8527 7.3542 2.8527 Å, 78.82 90.00 101.18°
Element x y z (fractional)
Pa (0.8747, 0.7493, 0.1253)
Si (0.2209, 0.4418, 0.7791)
Ir (0.0544, 0.1089, 0.9456)

Results
- N(E_F): 1.054 states/eV per atom
- Crystal system: tetragonal
- ΔE_f (raw): 31 kJ/mol of atoms

The following is a PBE-GGA calculation of a relaxed Pa2Si4Ir3 crystal, from the Alexandria database.

Cell: 5.6145 7.3854 7.7463 Å, 90.00 111.25 90.00°
Element x y z (fractional)
Pa (0.8942, 0.4091, 0.7884)
Pa (0.3942, 0.0909, 0.7884)
Pa (0.6058, 0.9091, 0.2116)
Pa (0.1058, 0.5909, 0.2116)
Ir (0.5000, 0.5000, 0.0000)
Ir (0.5205, 0.7500, 0.5410)
Ir (0.4795, 0.2500, 0.4590)
Ir (0.0205, 0.7500, 0.5410)
Ir (0.0000, 0.0000, 0.0000)
Ir (0.9795, 0.2500, 0.4590)
Si (0.1801, 0.9794, 0.3603)
Si (0.6900, 0.7500, 0.8800)
Si (0.3100, 0.2500, 0.1200)
Si (0.1900, 0.7500, 0.8800)
Si (0.8100, 0.2500, 0.1200)
Si (0.3199, 0.4794, 0.6397)
Si (0.6801, 0.5206, 0.3603)
Si (0.8199, 0.0206, 0.6397)

Results
- N(E_F): 0.562 states/eV per atom
- Crystal system: orthorhombic
- ΔE_f (raw): -83 kJ/mol of atoms

The following is a PBE-GGA calculation of a relaxed PaSi4Ir2 crystal, from the Alexandria database.

Cell: 4.2006 6.5212 16.4891 Å, 90.00 90.00 90.00°
Site moments in Bohr magnetons follow the coordinates.
Element x y z (fractional)
Ir (0.7500, 0.2500, 0.4690)  0.01
Ir (0.7500, 0.2500, 0.9690)  0.01
Ir (0.2500, 0.7500, 0.5310)  0.01
Ir (0.2500, 0.5204, 0.2892)  0.00
Ir (0.7500, 0.4796, 0.7108)  0.00
Ir (0.2500, 0.7500, 0.0310)  0.01
Ir (0.7500, 0.0204, 0.2108)  0.00
Ir (0.2500, 0.9796, 0.7892)  0.00
Si (0.7500, 0.6376, 0.9674)  0.01
Si (0.2500, 0.4643, 0.4362)  0.00
Si (0.2500, 0.8172, 0.1799)  0.01
Si (0.2500, 0.0357, 0.9362)  0.00
Si (0.7500, 0.7824, 0.8040)  0.03
Si (0.7500, 0.3172, 0.3201)  0.01
Si (0.7500, 0.9643, 0.0638)  0.00
Si (0.7500, 0.8624, 0.4674)  0.01
Si (0.7500, 0.5357, 0.5638)  0.00
Si (0.2500, 0.2824, 0.6960)  0.03
Si (0.7500, 0.1828, 0.8201)  0.01
Si (0.7500, 0.7176, 0.3040)  0.03
Si (0.2500, 0.1376, 0.5326)  0.01
Si (0.2500, 0.6828, 0.6799)  0.01
Si (0.2500, 0.2176, 0.1960)  0.03
Si (0.2500, 0.3624, 0.0326)  0.01
Pa (0.2500, 0.9968, 0.3569)  0.57
Pa (0.7500, 0.0032, 0.6431)  0.57
Pa (0.7500, 0.4968, 0.1431)  0.57
Pa (0.2500, 0.5032, 0.8569)  0.57

Results
- N(E_F): 0.563 states/eV per atom
- Crystal system: orthorhombic
- ΔE_f (raw): -66 kJ/mol of atoms

The following is a PBE-GGA calculation of a relaxed PaSi3Ir5 crystal, from the Alexandria database.

Cell: 3.8190 6.4962 12.6212 Å, 90.00 90.00 107.09°
Element x y z (fractional)
Ir (0.5413, 0.0826, 0.8514)
Ir (0.7958, 0.5915, 0.0776)
Ir (0.2042, 0.4085, 0.5776)
Ir (0.0000, 0.0000, 0.5000)
Ir (0.5413, 0.0826, 0.6486)
Ir (0.0000, 0.0000, 0.0000)
Ir (0.4587, 0.9174, 0.1486)
Ir (0.2042, 0.4085, 0.9224)
Ir (0.4587, 0.9174, 0.3514)
Ir (0.7958, 0.5915, 0.4224)
Si (0.6178, 0.2356, 0.0342)
Si (0.6178, 0.2356, 0.4658)
Si (0.3822, 0.7644, 0.9658)
Si (0.1310, 0.2620, 0.7500)
Si (0.8690, 0.7380, 0.2500)
Si (0.3822, 0.7644, 0.5342)
Pa (0.8761, 0.7523, 0.7500)
Pa (0.1239, 0.2477, 0.2500)

Results
- N(E_F): 0.648 states/eV per atom
- Crystal system: orthorhombic
- ΔE_f (raw): -58 kJ/mol of atoms